[1]
# TbSm2YAs4

TbSm2YAs4 after structural relaxation (PBE, Alexandria).

Computed properties:
Calculated formation energy ... -1.54 eV/atom
Total magnetic moment ... 0.000 μB/atom
Final energy ... -51.4 eV/cell

abc: 4.175 7.228 7.226
angles: 109.47 90.00 90.00
Positions (direct):
As1 0.500 0.248 0.245
As2 0.500 0.752 0.755
As3 0.000 0.251 0.755
As4 0.000 0.749 0.245
Y1 0.000 0.000 0.000
Tb1 0.500 0.500 0.000
Sm1 0.000 0.500 0.500
Sm2 0.500 0.000 0.500

[2]
# CaAl2Cr2

CaAl2Cr2 after structural relaxation (PBE, Alexandria).

Computed properties:
Calculated formation energy ... 0.17 eV/atom
Total magnetic moment ... 1.191 μB/atom
Final energy ... -55.7 eV/cell
Polymorph energy (0 for the lowest one) ... 71 meV per atom

abc: 7.761 7.761 2.991
angles: 90.00 90.00 90.00
Each line ends with the local moment (μB).
Positions (direct):
Al1 0.376 0.876 0.000  -0.07
Al2 0.124 0.376 0.000  -0.07
Al3 0.876 0.624 0.000  -0.07
Al4 0.624 0.124 0.000  -0.07
Ca1 0.000 0.000 0.000  -0.02
Ca2 0.500 0.500 0.000  -0.02
Cr1 0.169 0.669 0.500  2.88
Cr2 0.831 0.331 0.500  2.88
Cr3 0.669 0.831 0.500  2.87
Cr4 0.331 0.169 0.500  2.87